# CsLuGeTe3 (PBE, optimized geometry)
# - VASP energy (eV/cell) = -97.99
# - calculated density (Mg/m³) = 5.5
data_CsLuGeTe3
_chemical_formula_sum 'Cs4 Lu4 Ge4 Te12'
_cell_length_a 4.510
_cell_length_b 16.806
_cell_length_c 12.186
_cell_angle_alpha 90.00
_cell_angle_beta 90.00
_cell_angle_gamma 90.00
_symmetry_space_group_name_H-M 'C m c m'
_symmetry_Int_Tables_number 63
_symmetry_space_group_name_Hall '-C 2c 2'
loop_
_atom_site_label
_atom_site_fract_x
_atom_site_fract_y
_atom_site_fract_z
Cs1 0.000 0.247 0.250
Lu1 0.000 0.500 0.000
Ge1 0.000 0.051 0.750
Te1 0.000 0.122 0.532
Te2 0.000 0.449 0.750